No. 1
A crystal of LiAl relaxed with PBEsol. Source: the Alexandria database, functional meta-GGA SCAN.

Lattice parameters (Å, degrees): 2.8236 5.4826 6.6102 103.00 90.00 104.92
Fractional coordinates of all 6 atoms:
Al1 0.9942 0.9884 0.9959
Al2 0.3341 0.6681 0.6657
Al3 0.3913 0.7826 0.2823
Li1 0.6673 0.3346 0.3253
Li2 0.0566 0.1132 0.6122
Li3 0.7232 0.4464 0.9518

Computed properties:
Its space group is Cm. The calculation puts the total DFT energy (no corrections) at -5.186 eV/atom.

No. 2
A crystal of La2Os relaxed with PBEsol. Source: the Alexandria database, functional meta-GGA SCAN.

Lattice parameters (Å, degrees): 4.2714 6.6199 6.6182 90.00 90.00 90.00
Fractional coordinates of all 6 atoms:
Os1 0.0000 0.0000 0.0000
Os2 0.5000 0.5000 0.5000
La1 0.0000 0.2711 0.3372
La2 0.5000 0.2289 0.8372
La3 0.5000 0.7711 0.1628
La4 0.0000 0.7289 0.6628

Computed properties:
Its space group is Pnnm. The calculation puts the total DFT energy (no corrections) at -52.939 eV/atom.

No. 3
A crystal of SrOsPb2 relaxed with PBEsol. Source: the Alexandria database, functional meta-GGA SCAN.

Lattice parameters (Å, degrees): 3.5829 4.8567 6.3223 101.93 90.00 111.65
Fractional coordinates of all 4 atoms:
Os1 0.0000 0.0000 0.5000
Pb1 0.7311 0.4621 0.6919
Pb2 0.2689 0.5379 0.3081
Sr1 0.5000 0.0000 0.0000

Computed properties:
Its space group is C2/m. The calculation puts the total DFT energy (no corrections) at -61.231 eV/atom.

Number 1: energy of formation from the pure elements -0.115 eV/atom, total magnetization 0.012 μB/f.u.. Number 2: energy of formation from the pure elements -0.243 eV/atom, total magnetization 0.000 μB/f.u.. Number 3: energy of formation from the pure elements 0.198 eV/atom, total magnetization 0.000 μB/f.u..